# Cs3In5Hg2 GGA-PBE relaxed
data_Cs3In5Hg2
_cell_length_a 10.7412
_cell_length_b 10.7412
_cell_length_c 10.7412
_cell_angle_alpha 106.10
_cell_angle_beta 88.49
_cell_angle_gamma 138.51
_space_group_name_H-M_alt 'P 1'
_space_group_IT_number 1
loop_
_space_group_symop_operation_xyz
'x,y,z'
loop_
_atom_site_label
_atom_site_fract_x
_atom_site_fract_y
_atom_site_fract_z
Cs1 0.1205 0.7408 0.8613
Cs2 0.2500 0.2500 0.0000
Cs3 0.3795 0.2408 0.6203
Cs4 0.6205 0.7592 0.3797
Cs5 0.7500 0.7500 0.0000
Cs6 0.8795 0.2592 0.1387
In1 0.0053 0.7500 0.2553
In2 0.1250 0.3796 0.5045
In3 0.2500 0.7500 0.5000
In4 0.3750 0.8796 0.2546
In5 0.4947 0.7500 0.7447
In6 0.5053 0.2500 0.2553
In7 0.6250 0.1204 0.7454
In8 0.7500 0.2500 0.5000
In9 0.8750 0.6204 0.4955
In10 0.9947 0.2500 0.7447
Hg1 0.1586 0.1525 0.3111
Hg2 0.3414 0.6525 0.9939
Hg3 0.6586 0.3475 0.0061
Hg4 0.8414 0.8475 0.6889
# Formation enthalpy at 0 K in eV per atom: -0.113
# DOS at the Fermi energy in states/eV per cell: 9.916
# Volume in Å³ per atom: 37.804
# Density in g/cm³: 6.04
# Total magnetic moment in Bohr magnetons per cell: 0.00

***

# CsIn2Hg6 GGA-PBE relaxed
data_CsIn2Hg6
_cell_length_a 10.1587
_cell_length_b 10.1587
_cell_length_c 10.1587
_cell_angle_alpha 60.00
_cell_angle_beta 60.00
_cell_angle_gamma 60.00
_space_group_name_H-M_alt 'P 1'
_space_group_IT_number 1
loop_
_space_group_symop_operation_xyz
'x,y,z'
loop_
_atom_site_label
_atom_site_fract_x
_atom_site_fract_y
_atom_site_fract_z
Cs1 0.1250 0.1250 0.1250
Cs2 0.8750 0.8750 0.8750
In1 0.0000 0.5000 0.5000
In2 0.5000 0.0000 0.5000
In3 0.5000 0.5000 0.0000
In4 0.5000 0.5000 0.5000
Hg1 0.1396 0.1396 0.6104
Hg2 0.1396 0.6104 0.1396
Hg3 0.1396 0.6104 0.6104
Hg4 0.3896 0.3896 0.8604
Hg5 0.3896 0.8604 0.3896
Hg6 0.3896 0.8604 0.8604
Hg7 0.6104 0.1396 0.1396
Hg8 0.6104 0.1396 0.6104
Hg9 0.6104 0.6104 0.1396
Hg10 0.8604 0.3896 0.3896
Hg11 0.8604 0.3896 0.8604
Hg12 0.8604 0.8604 0.3896
# Formation enthalpy at 0 K in eV per atom: 0.045
# Excess energy over the best structure of this formula in the dataset in meV per atom: 69.0
# DOS at the Fermi energy in states/eV per cell: 12.034
# Volume in Å³ per atom: 41.184
# Density in g/cm³: 7.02
# Total magnetic moment in Bohr magnetons per cell: 0.00

***

# CsInHg2 GGA-PBE relaxed
data_CsInHg2
_cell_length_a 4.0970
_cell_length_b 4.0970
_cell_length_c 8.3189
_cell_angle_alpha 90.00
_cell_angle_beta 90.00
_cell_angle_gamma 90.00
_space_group_name_H-M_alt 'P 1'
_space_group_IT_number 1
loop_
_space_group_symop_operation_xyz
'x,y,z'
loop_
_atom_site_label
_atom_site_fract_x
_atom_site_fract_y
_atom_site_fract_z
Cs1 0.0000 0.0000 0.0000
In1 0.0000 0.0000 0.5000
Hg1 0.5000 0.5000 0.3068
Hg2 0.5000 0.5000 0.6932
# Formation enthalpy at 0 K in eV per atom: -0.115
# DOS at the Fermi energy in states/eV per cell: 2.286
# Volume in Å³ per atom: 34.910
# Density in g/cm³: 7.72
# Total magnetic moment in Bohr magnetons per cell: 0.00

***

# Cs5InHg4 GGA-PBE relaxed
data_Cs5InHg4
_cell_length_a 12.1852
_cell_length_b 12.1852
_cell_length_c 9.3423
_cell_angle_alpha 110.82
_cell_angle_beta 110.82
_cell_angle_gamma 25.36
_space_group_name_H-M_alt 'P 1'
_space_group_IT_number 1
loop_
_space_group_symop_operation_xyz
'x,y,z'
loop_
_atom_site_label
_atom_site_fract_x
_atom_site_fract_y
_atom_site_fract_z
Cs1 0.0000 0.0000 0.0000
Cs2 0.3025 0.3025 0.7128
Cs3 0.3671 0.3671 0.2454
Cs4 0.6329 0.6329 0.7546
Cs5 0.6975 0.6975 0.2872
In1 0.0000 0.0000 0.5000
Hg1 0.1218 0.1218 0.4431
Hg2 0.4619 0.4619 0.6476
Hg3 0.5381 0.5381 0.3524
Hg4 0.8782 0.8782 0.5569
# Formation enthalpy at 0 K in eV per atom: -0.171
# DOS at the Fermi energy in states/eV per cell: 7.083
# Volume in Å³ per atom: 55.327
# Density in g/cm³: 4.75
# Total magnetic moment in Bohr magnetons per cell: 0.00

***

# CsIn3Hg GGA-PBE relaxed
data_CsIn3Hg
_cell_length_a 7.6226
_cell_length_b 7.6226
_cell_length_c 6.8414
_cell_angle_alpha 90.00
_cell_angle_beta 90.00
_cell_angle_gamma 120.00
_space_group_name_H-M_alt 'P 1'
_space_group_IT_number 1
loop_
_space_group_symop_operation_xyz
'x,y,z'
loop_
_atom_site_label
_atom_site_fract_x
_atom_site_fract_y
_atom_site_fract_z
Cs1 0.3333 0.6667 0.2500
Cs2 0.6667 0.3333 0.7500
In1 0.1889 0.3778 0.7500
In2 0.1889 0.8111 0.7500
In3 0.3778 0.1889 0.2500
In4 0.6222 0.8111 0.7500
In5 0.8111 0.1889 0.2500
In6 0.8111 0.6222 0.2500
Hg1 0.0000 0.0000 0.0000
Hg2 0.0000 0.0000 0.5000
# Formation enthalpy at 0 K in eV per atom: 0.027
# Excess energy over the best structure of this formula in the dataset in meV per atom: 151.1
# DOS at the Fermi energy in states/eV per cell: 4.945
# Volume in Å³ per atom: 34.430
# Density in g/cm³: 6.54
# Total magnetic moment in Bohr magnetons per cell: 0.00

***

# CsIn5Hg6 GGA-PBE relaxed
data_CsIn5Hg6
_cell_length_a 9.4891
_cell_length_b 9.4891
_cell_length_c 5.0896
_cell_angle_alpha 105.38
_cell_angle_beta 105.38
_cell_angle_gamma 116.66
_space_group_name_H-M_alt 'P 1'
_space_group_IT_number 1
loop_
_space_group_symop_operation_xyz
'x,y,z'
loop_
_atom_site_label
_atom_site_fract_x
_atom_site_fract_y
_atom_site_fract_z
Cs1 0.0000 0.0000 0.0000
In1 0.1716 0.8284 0.5000
In2 0.3235 0.6765 0.0000
In3 0.5000 0.5000 0.5000
In4 0.6765 0.3235 0.0000
In5 0.8284 0.1716 0.5000
Hg1 0.0935 0.4411 0.2675
Hg2 0.2923 0.2923 0.7916
Hg3 0.4411 0.0935 0.2675
Hg4 0.5589 0.9065 0.7325
Hg5 0.7077 0.7077 0.2084
Hg6 0.9065 0.5589 0.7325
# Formation enthalpy at 0 K in eV per atom: -0.017
# DOS at the Fermi energy in states/eV per cell: 5.440
# Volume in Å³ per atom: 29.458
# Density in g/cm³: 8.97
# Total magnetic moment in Bohr magnetons per cell: 0.00

***

# CsIn3Hg GGA-PBE relaxed
data_CsIn3Hg
_cell_length_a 7.3950
_cell_length_b 7.3922
_cell_length_c 5.1172
_cell_angle_alpha 69.78
_cell_angle_beta 69.72
_cell_angle_gamma 40.49
_space_group_name_H-M_alt 'P 1'
_space_group_IT_number 1
loop_
_space_group_symop_operation_xyz
'x,y,z'
loop_
_atom_site_label
_atom_site_fract_x
_atom_site_fract_y
_atom_site_fract_z
Cs1 0.0000 0.0000 0.0000
In1 0.2527 0.2527 0.2473
In2 0.6221 0.6221 0.3779
In3 0.7527 0.7527 0.7473
Hg1 0.3865 0.3865 0.6135
# Formation enthalpy at 0 K in eV per atom: -0.124
# Excess energy over the best structure of this formula in the dataset in meV per atom: 0.0
# DOS at the Fermi energy in states/eV per cell: 2.372
# Volume in Å³ per atom: 33.767
# Density in g/cm³: 6.67
# Total magnetic moment in Bohr magnetons per cell: 0.00

***

# CsInHg2 GGA-PBE relaxed
data_CsInHg2
_cell_length_a 7.4987
_cell_length_b 5.4874
_cell_length_c 15.6187
_cell_angle_alpha 90.00
_cell_angle_beta 90.00
_cell_angle_gamma 90.00
_space_group_name_H-M_alt 'P 1'
_space_group_IT_number 1
loop_
_space_group_symop_operation_xyz
'x,y,z'
loop_
_atom_site_label
_atom_site_fract_x
_atom_site_fract_y
_atom_site_fract_z
Cs1 0.1414 0.2500 0.1242
Cs2 0.3586 0.7500 0.6242
Cs3 0.6414 0.2500 0.3758
Cs4 0.8586 0.7500 0.8758
In1 0.1265 0.7500 0.3939
In2 0.3735 0.2500 0.8939
In3 0.6265 0.7500 0.1061
In4 0.8735 0.2500 0.6061
Hg1 0.1163 0.2500 0.7532
Hg2 0.1529 0.2500 0.4618
Hg3 0.3471 0.7500 0.9618
Hg4 0.3837 0.7500 0.2532
Hg5 0.6163 0.2500 0.7468
Hg6 0.6529 0.2500 0.0382
Hg7 0.8471 0.7500 0.5382
Hg8 0.8837 0.7500 0.2468
# Formation enthalpy at 0 K in eV per atom: -0.162
# DOS at the Fermi energy in states/eV per cell: 4.698
# Volume in Å³ per atom: 40.168
# Density in g/cm³: 6.71
# Total magnetic moment in Bohr magnetons per cell: 0.00

***

# Cs2InHg2 GGA-PBE relaxed
data_Cs2InHg2
_cell_length_a 10.9685
_cell_length_b 10.9685
_cell_length_c 3.8173
_cell_angle_alpha 90.00
_cell_angle_beta 90.00
_cell_angle_gamma 90.00
_space_group_name_H-M_alt 'P 1'
_space_group_IT_number 1
loop_
_space_group_symop_operation_xyz
'x,y,z'
loop_
_atom_site_label
_atom_site_fract_x
_atom_site_fract_y
_atom_site_fract_z
Cs1 0.1880 0.3120 0.0000
Cs2 0.3120 0.8120 0.0000
Cs3 0.6880 0.1880 0.0000
Cs4 0.8120 0.6880 0.0000
In1 0.0000 0.0000 0.0000
In2 0.5000 0.5000 0.0000
Hg1 0.1020 0.6020 0.5000
Hg2 0.3980 0.1020 0.5000
Hg3 0.6020 0.8980 0.5000
Hg4 0.8980 0.3980 0.5000
# Formation enthalpy at 0 K in eV per atom: -0.003
# Excess energy over the best structure of this formula in the dataset in meV per atom: 193.9
# DOS at the Fermi energy in states/eV per cell: 8.865
# Volume in Å³ per atom: 45.925
# Density in g/cm³: 5.65
# Total magnetic moment in Bohr magnetons per cell: 0.00

***

# CsIn3Hg4 GGA-PBE relaxed
data_CsIn3Hg4
_cell_length_a 5.2679
_cell_length_b 5.2679
_cell_length_c 9.2910
_cell_angle_alpha 90.00
_cell_angle_beta 90.00
_cell_angle_gamma 90.00
_space_group_name_H-M_alt 'P 1'
_space_group_IT_number 1
loop_
_space_group_symop_operation_xyz
'x,y,z'
loop_
_atom_site_label
_atom_site_fract_x
_atom_site_fract_y
_atom_site_fract_z
Cs1 0.0000 0.0000 0.0000
In1 0.0000 0.0000 0.5000
In2 0.5000 0.5000 0.1700
In3 0.5000 0.5000 0.8300
Hg1 0.0000 0.5000 0.3265
Hg2 0.0000 0.5000 0.6735
Hg3 0.5000 0.0000 0.3265
Hg4 0.5000 0.0000 0.6735
# Formation enthalpy at 0 K in eV per atom: -0.079
# DOS at the Fermi energy in states/eV per cell: 4.073
# Volume in Å³ per atom: 32.229
# Density in g/cm³: 8.24
# Total magnetic moment in Bohr magnetons per cell: 0.00

***

# CsInHg17 GGA-PBE relaxed
data_CsInHg17
_cell_length_a 8.5156
_cell_length_b 8.5156
_cell_length_c 8.5156
_cell_angle_alpha 75.56
_cell_angle_beta 75.56
_cell_angle_gamma 75.56
_space_group_name_H-M_alt 'P 1'
_space_group_IT_number 1
loop_
_space_group_symop_operation_xyz
'x,y,z'
loop_
_atom_site_label
_atom_site_fract_x
_atom_site_fract_y
_atom_site_fract_z
Cs1 0.0000 0.0000 0.0000
In1 0.6997 0.6997 0.6997
Hg1 0.0523 0.3643 0.6579
Hg2 0.0523 0.6579 0.3643
Hg3 0.2776 0.6999 0.6999
Hg4 0.2904 0.2904 0.2904
Hg5 0.3057 0.3057 0.9163
Hg6 0.3057 0.9163 0.3057
Hg7 0.3643 0.0523 0.6579
Hg8 0.3643 0.6579 0.0523
Hg9 0.4631 0.4631 0.4631
Hg10 0.5762 0.9548 0.9548
Hg11 0.6579 0.0523 0.3643
Hg12 0.6579 0.3643 0.0523
Hg13 0.6999 0.2776 0.6999
Hg14 0.6999 0.6999 0.2776
Hg15 0.9163 0.3057 0.3057
Hg16 0.9548 0.5762 0.9548
Hg17 0.9548 0.9548 0.5762
# Formation enthalpy at 0 K in eV per atom: -0.048
# DOS at the Fermi energy in states/eV per cell: 5.577
# Volume in Å³ per atom: 29.866
# Density in g/cm³: 10.70
# Total magnetic moment in Bohr magnetons per cell: 0.00

***

# CsIn3Hg GGA-PBE relaxed
data_CsIn3Hg
_cell_length_a 6.8352
_cell_length_b 6.8352
_cell_length_c 6.8352
_cell_angle_alpha 90.00
_cell_angle_beta 90.00
_cell_angle_gamma 90.00
_space_group_name_H-M_alt 'P 1'
_space_group_IT_number 1
loop_
_space_group_symop_operation_xyz
'x,y,z'
loop_
_atom_site_label
_atom_site_fract_x
_atom_site_fract_y
_atom_site_fract_z
Cs1 0.0000 0.0000 0.0000
In1 0.0000 0.0000 0.5000
In2 0.0000 0.5000 0.0000
In3 0.5000 0.0000 0.0000
Hg1 0.5000 0.5000 0.5000
# Formation enthalpy at 0 K in eV per atom: 0.932
# Excess energy over the best structure of this formula in the dataset in meV per atom: 1055.9
# DOS at the Fermi energy in states/eV per cell: 10.158
# Volume in Å³ per atom: 63.867
# Density in g/cm³: 3.53
# Total magnetic moment in Bohr magnetons per cell: 0.00

***

> What is the formula in the fourth record?

Cs5InHg4